1.
DFT (GGA-PBE) results for a relaxed Sr2Ag2H crystal.

a = 6.2632 Å, b = 6.2632 Å, c = 7.1575 Å
α = 90.00°, β = 90.00°, γ = 90.00°
With the nearest neighbours (Å) after each atom.
Element x y z (fractional)
Sr1 0.0000 0.5000 0.2500  4 Ag 3.15
Sr2 0.0000 0.5000 0.7500  4 Ag 3.15
Sr3 0.5000 0.0000 0.2500  4 Ag 3.15
Sr4 0.5000 0.0000 0.7500  4 Ag 3.15
Ag1 0.0000 0.0000 0.1986  1 H 2.16
Ag2 0.0000 0.0000 0.8014  1 H 2.16
Ag3 0.5000 0.5000 0.3014  1 H 2.16
Ag4 0.5000 0.5000 0.6986  1 H 2.16
H1 0.0000 0.0000 0.5000  2 Ag 2.16
H2 0.5000 0.5000 0.0000  2 Ag 2.16

Values from the calculation:
energy above the most stable polymorph in this dataset: 125 meV per atom
total magnetic moment: 0.000 μB per atom
E: -2.310 eV per atom

---

2.
DFT (GGA-PBE) results for a relaxed Al2WCl crystal.

a = 3.8065 Å, b = 3.8065 Å, c = 9.3698 Å
α = 90.00°, β = 90.00°, γ = 90.00°
With the nearest neighbours (Å) after each atom.
Element x y z (fractional)
Al1 0.0000 0.0000 0.0000  4 W 2.69
Al2 0.0000 0.5000 0.2500  4 Cl 2.69
Al3 0.5000 0.0000 0.7500  4 Cl 2.69
Al4 0.5000 0.5000 0.5000  4 W 2.69
W1 0.0000 0.0000 0.5000  4 Al 2.69
W2 0.5000 0.5000 0.0000  4 Al 2.69
Cl1 0.0000 0.5000 0.7500  4 Al 2.69
Cl2 0.5000 0.0000 0.2500  4 Al 2.69

Values from the calculation:
energy above the most stable polymorph in this dataset: 874 meV per atom
total magnetic moment: 0.000 μB per atom
uncorrected formation energy: 743 meV per atom
E: -4.828 eV per atom

---

3.
DFT (GGA-PBE) results for a relaxed Ti5Ga6Pd crystal.

a = 6.4432 Å, b = 6.4432 Å, c = 7.7471 Å
α = 90.00°, β = 90.00°, γ = 144.14°
With the nearest neighbours (Å) after each atom.
Element x y z (fractional)
Ti1 0.0000 0.0000 0.0000  8 Ga 2.80-2.83, 4 Ti 2.80
Ti2 0.3315 0.6685 0.5000  8 Ga 2.76-2.81, 2 Ti 2.82, 2 Pd 2.86
Ti3 0.3383 0.6617 0.0000  8 Ga 2.78-2.86, 4 Ti 2.80-2.94
Ti4 0.6617 0.3383 0.0000  8 Ga 2.78-2.86, 4 Ti 2.80-2.94
Ti5 0.6685 0.3315 0.5000  8 Ga 2.76-2.81, 2 Ti 2.82, 2 Pd 2.86
Ga1 0.1677 0.8323 0.2518  7 Ti 2.76-2.86, 1 Pd 2.81, 4 Ga 2.83-2.86
Ga2 0.1677 0.8323 0.7482  7 Ti 2.76-2.86, 1 Pd 2.81, 4 Ga 2.83-2.86
Ga3 0.5000 0.5000 0.2547  2 Pd 2.75, 6 Ti 2.80-2.81, 4 Ga 2.86
Ga4 0.5000 0.5000 0.7453  2 Pd 2.75, 6 Ti 2.80-2.81, 4 Ga 2.86
Ga5 0.8323 0.1677 0.2518  7 Ti 2.76-2.86, 1 Pd 2.81, 4 Ga 2.83-2.86
Ga6 0.8323 0.1677 0.7482  7 Ti 2.76-2.86, 1 Pd 2.81, 4 Ga 2.83-2.86
Pd1 0.0000 0.0000 0.5000  8 Ga 2.75-2.81, 4 Ti 2.86

Values from the calculation:
energy above the most stable polymorph in this dataset: 0 meV per atom
total magnetic moment: 0.000 μB per atom
formation enthalpy at 0 K: -456.9 meV/atom
E: -5.693 eV per atom

---

4.
DFT (GGA-PBE) results for a relaxed TlIn2P crystal.

a = 4.7064 Å, b = 4.7064 Å, c = 9.1782 Å
α = 90.00°, β = 90.00°, γ = 90.00°
With the nearest neighbours (Å) after each atom.
Element x y z (fractional)
Tl1 0.0000 0.0000 0.0000  8 In 3.29-3.33, 4 P 3.29
Tl2 0.5000 0.5000 0.5000  8 In 3.29-3.33, 4 P 3.29
In1 0.0000 0.0000 0.5000  4 P 3.29, 4 In 3.29, 4 Tl 3.33
In2 0.0000 0.5000 0.7500  4 Tl 3.29, 4 In 3.29, 4 P 3.33
In3 0.5000 0.0000 0.2500  4 Tl 3.29, 4 In 3.29, 4 P 3.33
In4 0.5000 0.5000 0.0000  4 In 3.29, 4 P 3.29, 4 Tl 3.33
P1 0.0000 0.5000 0.2500  4 Tl 3.29, 8 In 3.29-3.33
P2 0.5000 0.0000 0.7500  4 Tl 3.29, 8 In 3.29-3.33

Values from the calculation:
energy above the most stable polymorph in this dataset: 267 meV per atom
total magnetic moment: 0.000 μB per atom
formation enthalpy at 0 K: 255.8 meV/atom
E: -3.057 eV per atom

---

5.
DFT (GGA-PBE) results for a relaxed Al2Zn3Ag2 crystal.

a = 8.7782 Å, b = 3.7415 Å, c = 6.9857 Å
α = 90.00°, β = 91.44°, γ = 90.00°
With the nearest neighbours (Å) after each atom.
Element x y z (fractional)
Al1 0.1419 0.0000 0.4153  5 Ag 2.67-2.87, 3 Al 2.79-2.90, 2 Zn 2.81
Al2 0.3581 0.5000 0.5847  5 Ag 2.67-2.87, 3 Al 2.79-2.90, 2 Zn 2.81
Al3 0.6419 0.5000 0.4153  5 Ag 2.67-2.87, 3 Al 2.79-2.90, 2 Zn 2.81
Al4 0.8581 0.0000 0.5847  5 Ag 2.67-2.87, 3 Al 2.79-2.90, 2 Zn 2.81
Zn1 0.0000 0.0000 0.0000  6 Zn 2.71-2.77, 4 Ag 2.83
Zn2 0.2115 0.5000 0.1305  5 Zn 2.71-2.77, 3 Ag 2.76-2.86, 2 Al 2.81
Zn3 0.2885 0.0000 0.8695  5 Zn 2.71-2.77, 3 Ag 2.76-2.86, 2 Al 2.81
Zn4 0.5000 0.5000 0.0000  6 Zn 2.71-2.77, 4 Ag 2.83
Zn5 0.7115 0.0000 0.1305  5 Zn 2.71-2.77, 3 Ag 2.76-2.86, 2 Al 2.81
Zn6 0.7885 0.5000 0.8695  5 Zn 2.71-2.77, 3 Ag 2.76-2.86, 2 Al 2.81
Ag1 0.0734 0.5000 0.7117  5 Al 2.67-2.87, 5 Zn 2.76-2.86
Ag2 0.4266 0.0000 0.2883  5 Al 2.67-2.87, 5 Zn 2.76-2.86
Ag3 0.5734 0.0000 0.7117  5 Al 2.67-2.87, 5 Zn 2.76-2.86
Ag4 0.9266 0.5000 0.2883  5 Al 2.67-2.87, 5 Zn 2.76-2.86

Values from the calculation:
energy above the most stable polymorph in this dataset: 0 meV per atom
total magnetic moment: 0.000 μB per atom
formation enthalpy at 0 K: 11.5 meV/atom
E: -2.418 eV per atom

---

6.
DFT (GGA-PBE) results for a relaxed Re2BAu crystal.

a = 4.4490 Å, b = 4.4490 Å, c = 14.0484 Å
α = 90.00°, β = 90.00°, γ = 90.00°
With the nearest neighbours (Å) after each atom.
Element x y z (fractional)
Re1 0.1284 0.2500 0.1250  2 B 2.16
Re2 0.2500 0.6284 0.3750  2 B 2.16
Re3 0.2500 0.8716 0.8750  2 B 2.16
Re4 0.3716 0.2500 0.6250  2 B 2.16
Re5 0.6284 0.7500 0.6250  2 B 2.16
Re6 0.7500 0.1284 0.8750  2 B 2.16
Re7 0.7500 0.3716 0.3750  2 B 2.16
Re8 0.8716 0.7500 0.1250  2 B 2.16
B1 0.0000 0.0000 0.0000  4 Re 2.16
B2 0.0000 0.5000 0.2500  4 Re 2.16
B3 0.5000 0.0000 0.7500  4 Re 2.16
B4 0.5000 0.5000 0.5000  4 Re 2.16
Au1 0.0000 0.0000 0.5000  4 Re 2.66
Au2 0.0000 0.5000 0.7500  4 Re 2.66
Au3 0.5000 0.0000 0.2500  4 Re 2.66
Au4 0.5000 0.5000 0.0000  4 Re 2.66

Values from the calculation:
total magnetic moment: 0.000 μB per atom
formation enthalpy at 0 K: 1083.1 meV/atom
E: -7.630 eV per atom